Density functional theory data (PBE) for Sc6Co5Os after structural relaxation.

Lattice parameters (Å, degrees): 7.681 7.681 7.681 146.34 131.85 60.03
Sites, in units of the cell vectors:
Sc 0.081 0.332 0.749
Sc 0.247 0.000 0.247
Sc 0.416 0.668 0.749
Sc 0.584 0.332 0.251
Sc 0.753 0.000 0.753
Sc 0.919 0.668 0.251
Co 0.000 0.500 0.500
Co 0.168 0.168 0.000
Co 0.334 0.834 0.500
Co 0.666 0.166 0.500
Co 0.832 0.832 0.000
Os 0.500 0.500 0.000

## Properties
ΔE_f in eV/atom: -0.3672